Record 1
Mn2TeW PBE relaxed; crystal system = monoclinic; final energy = -32.32 eV for the cell shown; energy relative to the elements, uncorrected = 529.5 meV per atom
1.0
4.583 0.007 -0.026
3.468 2.996 -0.026
0.955 0.356 4.670
Mn Te W
2 1 1
Cartesian
8.032 2.997 0.085
4.522 1.687 2.172
6.754 2.520 3.463
2.251 0.840 1.154

Record 2
MnTeW PBE relaxed; crystal system = trigonal; final energy = -22.98 eV for the cell shown; energy relative to the elements, uncorrected = 760.4 meV per atom
1.0
4.654 0.000 0.000
-2.327 4.030 0.000
0.000 0.000 2.899
Mn Te W
1 1 1
Cartesian
0.000 0.000 0.003
2.327 1.343 1.444
0.000 2.687 1.452

Record 3
MnTeW2 PBE relaxed; crystal system = monoclinic; final energy = -35.15 eV for the cell shown; energy relative to the elements, uncorrected = 767.2 meV per atom
1.0
-1.187 3.346 3.823
-3.022 -4.212 -0.584
0.913 -1.593 2.353
Mn Te W
1 1 2
Cartesian
-0.137 0.876 3.088
-1.055 -2.903 0.884
0.000 0.000 0.000
-2.104 -0.433 1.619

Record 4
MnTe2W2 PBE relaxed; crystal system = tetragonal; final energy = -74.84 eV for the cell shown; energy relative to the elements, uncorrected = 787.7 meV per atom
1.0
-6.017 2.117 -3.016
-3.156 -5.942 2.126
-1.074 1.786 3.396
Mn Te W
2 4 4
Cartesian
0.000 0.000 0.000
-4.587 -1.912 -0.445
-3.638 -2.713 2.613
-7.177 -2.653 1.462
-6.609 0.674 -0.107
-3.071 0.613 1.044
-4.976 -4.388 0.734
-7.224 -1.899 -1.287
-4.198 0.563 -1.624
-1.949 -1.926 0.397

Record 5
MnTeW2 PBE relaxed; crystal system = orthorhombic; final energy = -34.91 eV for the cell shown; energy relative to the elements, uncorrected = 825.9 meV per atom
1.0
-0.347 -2.802 0.310
0.725 1.226 2.457
-8.903 1.319 1.969
Mn Te W
1 1 2
Cartesian
-2.036 -0.458 1.876
-6.488 0.201 2.860
-0.340 0.050 0.075
-4.111 0.609 0.909

Record 6
MnTeW3 PBE relaxed; crystal system = cubic; final energy = -36.19 eV for the cell shown; energy relative to the elements, uncorrected = 2996.9 meV per atom
1.0
4.834 0.000 0.000
0.000 4.834 0.000
0.000 0.000 4.834
Mn Te W
1 1 3
Cartesian
2.417 2.417 2.417
0.000 0.000 0.000
0.000 2.417 0.000
0.000 0.000 2.417
2.417 0.000 0.000

Record 7
Mn2TeW PBE relaxed; crystal system = tetragonal; final energy = -32.69 eV for the cell shown; energy relative to the elements, uncorrected = 434.8 meV per atom
1.0
3.330 0.000 0.000
0.000 3.330 0.000
0.000 0.000 5.774
Mn Te W
2 1 1
Cartesian
0.000 0.000 0.031
1.665 1.665 1.304
0.000 0.000 2.804
1.665 1.665 4.523

Record 8
Mn2TeW PBE relaxed; crystal system = orthorhombic; final energy = -32.32 eV for the cell shown; energy relative to the elements, uncorrected = 528.1 meV per atom
1.0
2.935 0.029 0.000
-0.895 2.796 0.000
0.000 0.000 8.252
Mn Te W
2 1 1
Cartesian
0.000 0.000 8.077
0.000 0.000 4.300
1.020 1.412 2.063
1.020 1.412 6.189

Among the records above, which one has the lowest final energy? MnTe2W2

Which of these has the highest final energy? MnTeW

Which value of final energy does entry 7 give? -32.69 eV for the cell shown